An optimized crystal structure of LiVF4. Source: Alexandria, functional PBE+U.

Cell and atoms, written as POSCAR:
```
LiVF4
1.0
5.346 0.000 0.000
0.000 5.754 0.000
-4.064 0.000 10.181
Li V F
4 4 16
Cartesian
-0.523 0.762 3.089
-2.554 2.115 8.180
3.837 3.639 2.001
1.805 4.992 7.092
-0.655 3.722 5.115
1.377 4.910 0.024
-0.095 0.845 10.157
1.937 2.032 5.066
-3.630 0.710 9.176
-1.598 2.168 4.085
-3.320 3.838 8.718
-1.288 4.793 3.627
2.125 3.661 1.206
0.093 4.970 6.297
2.221 0.645 0.992
0.190 2.233 6.083
1.093 3.522 4.098
-0.939 5.110 9.189
1.189 0.784 3.884
-0.843 2.093 8.975
2.570 0.961 6.554
4.602 1.916 1.463
2.880 3.587 6.096
4.912 5.045 1.005
```

Output
The calculation puts the uncorrected energy at -0.4167 Ry/atom. The value obtained for the excess energy over the best structure of this formula in the dataset is 59 meV/atom. The space group is P2_1/c, No. 14.